# 1
Density functional theory data (GGA-PBE) for crystalline ZrAl2AgO at its relaxed geometry.

abc: 5.4050 5.2124 5.4050
angles: 90.00 90.00 90.00
Each line ends with the local moment (μB).
Fractional positions:
O  0.5000  0.5000  0.5000  0.05
Zr  0.0000  0.0000  0.0000  0.10
Ag  0.0000  0.5000  0.0000  -0.01
Al  0.0000  0.0000  0.5000  0.01
Al  0.5000  0.0000  0.0000  0.01

Properties
Uncorrected energy   -3.25 eV per atom
Uncorrected formation energy   1.52 eV/atom
Magnetization   0.267 μB per cell


# 2
Density functional theory data (GGA-PBE) for crystalline Al2AgOs at its relaxed geometry.

abc: 8.7908 8.7908 8.7908
angles: 18.93 18.93 18.93
Fractional positions:
Os  0.2500  0.2500  0.2500
Al  0.9930  0.9930  0.9930
Al  0.5070  0.5070  0.5070
Ag  0.7500  0.7500  0.7500

Properties
Uncorrected energy   -5.50 eV per atom
Magnetization   0.000 μB per cell


# 3
Density functional theory data (GGA-PBE) for crystalline Al2AgOs at its relaxed geometry.

abc: 3.0732 3.0732 6.3949
angles: 90.00 90.00 90.00
Fractional positions:
Os  0.5000  0.5000  0.2500
Al  0.0000  0.0000  0.0310
Al  0.0000  0.0000  0.4690
Ag  0.5000  0.5000  0.7500

Properties
Uncorrected energy   -5.68 eV per atom
Magnetization   0.000 μB per cell


# 4
Density functional theory data (GGA-PBE) for crystalline Al2AgOs at its relaxed geometry.

abc: 2.7936 2.7936 9.1359
angles: 90.00 90.00 116.96
Fractional positions:
Os  0.0000  0.0000  0.4800
Al  0.0000  0.0000  0.0067
Al  0.5000  0.5000  0.2589
Ag  0.5000  0.5000  0.7543

Properties
Uncorrected energy   -5.16 eV per atom
Magnetization   0.001 μB per cell